Compound: Ti4CoS8
Source: Alexandria
Functional: meta-GGA SCAN
Structure: PBEsol geometry

Properties
Crystal system: monoclinic
Total magnetic moment in μB per cell: 1.49
Calculated volume in Å³ per atom: 16.11
SG: C2/m, No. 12

```
Ti4CoS8
1.0
-5.932 2.425 0.098
0.744 -6.038 2.019
3.420 3.747 4.276
Ti S Co
4 8 1
direct
0.259 0.745 0.004 Ti
0.259 0.759 0.500 Ti
0.741 0.241 0.500 Ti
0.741 0.255 0.996 Ti
0.448 0.218 0.666 S
0.959 0.714 0.673 S
0.445 0.214 0.167 S
0.041 0.286 0.327 S
0.555 0.786 0.833 S
0.954 0.723 0.167 S
0.552 0.782 0.334 S
0.046 0.277 0.833 S
0.000 0.000 0.000 Co
```

Compound: TiCoS2
Source: Alexandria
Functional: meta-GGA SCAN
Structure: PBEsol geometry

Properties
Crystal system: cubic
Total magnetic moment in μB per cell: 0.88
Calculated volume in Å³ per atom: 12.59
SG: Fm-3m, No. 225

```
TiCoS2
1.0
4.145 0.000 0.000
2.073 3.590 0.000
2.073 1.197 3.385
Ti S Co
1 2 1
direct
0.000 0.000 0.000 Ti
0.250 0.250 0.250 S
0.750 0.750 0.750 S
0.500 0.500 0.500 Co
```

Compound: Tl2CoS
Source: Alexandria
Functional: meta-GGA SCAN
Structure: PBEsol geometry

Properties
Crystal system: cubic
Total magnetic moment in μB per cell: 2.60
Calculated volume in Å³ per atom: 20.61
SG: Fm-3m, No. 225

```
Tl2CoS
1.0
-3.134 -3.744 -0.156
-0.536 -2.901 3.894
-4.125 0.156 2.613
Tl S Co
2 1 1
direct
0.750 0.750 0.750 Tl
0.250 0.250 0.250 Tl
0.000 0.000 0.000 S
0.500 0.500 0.500 Co
```

Compound: U8CoS17
Source: Alexandria
Functional: meta-GGA SCAN
Structure: PBEsol geometry

Properties
Crystal system: monoclinic
Total magnetic moment in μB per cell: 17.00
Calculated volume in Å³ per atom: 19.77
SG: C2/m, No. 12

```
U8CoS17
1.0
7.596 -0.006 0.016
3.281 6.850 0.016
1.715 1.079 9.882
S U Co
17 8 1
direct
0.054 0.683 0.974 S
0.000 0.000 0.500 S
0.816 0.436 0.537 S
0.683 0.054 0.974 S
0.217 0.217 0.281 S
0.521 0.521 0.830 S
0.704 0.704 0.239 S
0.946 0.317 0.026 S
0.479 0.479 0.170 S
0.053 0.053 0.779 S
0.184 0.564 0.463 S
0.783 0.783 0.719 S
0.436 0.816 0.537 S
0.296 0.296 0.761 S
0.317 0.946 0.026 S
0.947 0.947 0.221 S
0.564 0.184 0.463 S
0.695 0.180 0.702 U
0.318 0.318 0.019 U
0.798 0.798 0.451 U
0.305 0.820 0.298 U
0.180 0.695 0.702 U
0.820 0.305 0.298 U
0.202 0.202 0.549 U
0.682 0.682 0.981 U
0.000 0.000 0.000 Co
```

Number 1: uncorrected formation energy -134.3 kJ/mol of atoms. Number 2: uncorrected formation energy -43.9 kJ/mol of atoms. Number 3: uncorrected formation energy 48.4 kJ/mol of atoms. Number 4: uncorrected formation energy -134.9 kJ/mol of atoms.